Entry from the Alexandria database: crystalline NaCeTlAg at its relaxed geometry (PBE).

The symmetry is F-43m (216). The uncorrected energy comes out at -3.1947 eV per atom.

Cell lengths 5.283, 5.283, 5.283 Å; angles 60.00, 60.00, 60.00 degrees
Sites, in units of the cell vectors:
Na 0.000 0.000 0.000
Ce 0.500 0.500 0.500
Tl 0.750 0.750 0.750
Ag 0.250 0.250 0.250

***

Entry from the Alexandria database: crystalline NaCeZnAg at its relaxed geometry (PBE).

The symmetry is F-43m (216). The uncorrected energy comes out at -2.8455 eV per atom.

Cell lengths 5.121, 5.121, 5.121 Å; angles 60.00, 60.00, 60.00 degrees
Sites, in units of the cell vectors:
Na 0.000 0.000 0.000
Ce 0.500 0.500 0.500
Zn 0.750 0.750 0.750
Ag 0.250 0.250 0.250

***

Entry from the Alexandria database: crystalline Ce2NbAg at its relaxed geometry (PBE).

The symmetry is R-3m (166). The excess energy over the best structure of this formula in the dataset comes out at 207.2 meV/atom. The uncorrected energy comes out at -5.8971 eV per atom.

Cell lengths 11.484, 11.484, 11.484 Å; angles 15.05, 15.05, 15.05 degrees
Sites, in units of the cell vectors:
Ce 0.084 0.084 0.084
Ce 0.916 0.916 0.916
Nb 0.000 0.000 0.000
Ag 0.500 0.500 0.500

***

For reference, energy of formation from the pure elements by record: -0.08; 0.00; 0.30 eV/atom.
For reference, magnetic moment by record: 0.93; 1.20; 0.00 μB per formula unit.